1.
First-principles (PBE) data for a relaxed TbNd3Er2Tm6 crystal, as listed in Alexandria.

Computed properties:
* VASP energy: -4.5504 eV/atom
* energy of formation: 0.0237 eV per atom
* DOS(E_F): 15.8 states/eV/f.u.
* spin magnetization: 0.00 μB per cell

The structure in POSCAR format:
```
TbNd3Er2Tm6
1.0
6.1485 0.0007 -0.0023
-3.0721 5.3259 -0.0023
-1.0176 -1.7620 11.5072
Tm Nd Er Tb
6 3 2 1
Cartesian
3.0803 1.7838 8.6722 Tm
2.0531 0.0052 2.8305 Tm
0.0056 0.0097 8.6742 Tm
2.0531 3.5550 2.8285 Tm
-1.0216 1.7809 2.8305 Tm
0.0056 3.5595 8.6722 Tm
-2.0429 3.5567 5.7514 Nd
1.0294 1.7823 5.7514 Nd
4.1017 0.0080 5.7514 Nd
0.0008 3.5512 -0.0023 Er
3.0755 1.7755 -0.0023 Er
0.0000 0.0000 0.0000 Tb
```

=====

2.
First-principles (PBE) data for a relaxed TbNd2Er6Tm crystal, as listed in Alexandria.

Computed properties:
* VASP energy: -4.4847 eV/atom
* energy of formation: 0.1168 eV per atom
* DOS(E_F): 13.1 states/eV/f.u.
* spin magnetization: 0.00 μB per cell

The structure in POSCAR format:
```
TbNd2Er6Tm
1.0
9.1237 -2.1345 -2.2152
0.7520 8.4494 -2.0018
0.7520 -2.3135 8.3694
Nd Er Tm Tb
4 12 2 2
Cartesian
5.3255 -0.2056 0.8998 Nd
0.7636 1.9741 0.9355 Nd
9.8640 2.0272 3.2170 Nd
5.3022 4.2069 3.2526 Nd
1.9873 4.5743 2.4691 Er
4.8880 -0.8009 5.8278 Er
9.4498 4.7862 -1.6920 Er
4.0785 2.7707 0.5973 Er
2.1567 4.4081 -1.3901 Er
6.5492 1.2306 3.5551 Er
8.4710 -0.4069 5.5426 Er
6.7185 -2.6198 3.2460 Er
1.1778 -0.7849 5.8444 Er
3.9091 6.6211 0.9064 Er
8.6404 -0.5730 1.6834 Er
5.7397 4.8022 -1.6754 Er
7.5948 2.4698 0.5562 Tm
3.0329 1.5315 3.5963 Tm
7.5948 -3.7193 6.5200 Tb
3.0329 7.7206 -2.3675 Tb
```